1.
Material: Eu2CdPd
Method: DFT, PBE-GGA
State: relaxed

Values from the calculation:
Excess energy over the best structure of this formula in the dataset   1.27 eV/f.u.

Unit cell a=4.0930 b=4.0930 c=10.5602 alpha=78.83 beta=78.83 gamma=60.00
Last column: nearest neighbours and their distance in Å.
Fractional coordinates of all 4 atoms:
Eu 0.8893 0.8893 0.3320  3 Pd 2.93
Eu 0.1107 0.1107 0.6680  3 Pd 2.93
Cd 0.0000 0.0000 0.0000  2 Eu 3.42
Pd 0.5000 0.5000 0.5000  6 Eu 2.93

=====

2.
Material: Zr2Ti2Hg
Method: DFT, PBE-GGA
State: relaxed

Values from the calculation:
Excess energy over the best structure of this formula in the dataset   1.33 eV/f.u.

Unit cell a=7.5746 b=7.5746 c=3.6806 alpha=90.00 beta=90.00 gamma=90.00
Last column: nearest neighbours and their distance in Å.
Fractional coordinates of all 10 atoms:
Ti 0.1579 0.6579 0.5000  6 Zr 2.86-2.90
Ti 0.3421 0.1579 0.5000  6 Zr 2.86-2.90
Ti 0.8421 0.3421 0.5000  6 Zr 2.86-2.90
Ti 0.6579 0.8421 0.5000  6 Zr 2.86-2.90
Hg 0.5000 0.5000 0.0000  4 Zr 2.94
Hg 0.0000 0.0000 0.0000  4 Zr 2.94
Zr 0.8626 0.6374 0.0000  6 Ti 2.86-2.90, 2 Hg 2.94, 1 Zr 2.94
Zr 0.1374 0.3626 0.0000  6 Ti 2.86-2.90, 2 Hg 2.94, 1 Zr 2.94
Zr 0.6374 0.1374 0.0000  6 Ti 2.86-2.90, 2 Hg 2.94, 1 Zr 2.94
Zr 0.3626 0.8626 0.0000  6 Ti 2.86-2.90, 2 Hg 2.94, 1 Zr 2.94

=====

3.
Material: Cu3Pt2
Method: DFT, PBE-GGA
State: relaxed

Values from the calculation:
Excess energy over the best structure of this formula in the dataset   0.00 eV/f.u.

Unit cell a=10.7601 b=10.7601 c=10.7601 alpha=14.54 beta=14.54 gamma=14.54
Last column: nearest neighbours and their distance in Å.
Fractional coordinates of all 5 atoms:
Cu 0.8022 0.8022 0.8022  9 Cu 2.54-2.72, 3 Pt 2.67
Cu 0.0000 0.0000 0.0000  6 Pt 2.68, 6 Cu 2.72
Cu 0.1978 0.1978 0.1978  9 Cu 2.54-2.72, 3 Pt 2.67
Pt 0.4011 0.4011 0.4011  6 Cu 2.67-2.68, 6 Pt 2.72
Pt 0.5989 0.5989 0.5989  6 Cu 2.67-2.68, 6 Pt 2.72

=====

4.
Material: Ba2In2Sb
Method: DFT, PBE-GGA
State: relaxed

Values from the calculation:
Excess energy over the best structure of this formula in the dataset   0.00 eV/f.u.
Formation energy (no corrections)   -519 meV/atom

Unit cell a=4.3184 b=4.3184 c=10.8394 alpha=78.51 beta=78.51 gamma=90.00
Last column: nearest neighbours and their distance in Å.
Fractional coordinates of all 5 atoms:
In 0.7500 0.2500 0.5000  4 In 3.05
In 0.2500 0.7500 0.5000  4 In 3.05
Ba 0.5922 0.5922 0.8157  4 Sb 3.61, 1 Ba 3.83, 4 In 3.93
Ba 0.4078 0.4078 0.1843  4 Sb 3.61, 1 Ba 3.83, 4 In 3.93
Sb 0.0000 0.0000 0.0000  8 Ba 3.61

=====

5.
Material: Lu3Th
Method: DFT, PBE-GGA
State: relaxed

Values from the calculation:
Excess energy over the best structure of this formula in the dataset   0.03 eV/f.u.

Unit cell a=5.0097 b=5.0097 c=6.0057 alpha=114.65 beta=114.65 gamma=90.00
Last column: nearest neighbours and their distance in Å.
Fractional coordinates of all 4 atoms:
Th 0.0000 0.0000 0.0000  12 Lu 3.49-3.54
Lu 0.5000 0.5000 0.0000  8 Lu 3.49, 4 Th 3.54
Lu 0.2500 0.7500 0.5000  4 Th 3.49, 8 Lu 3.49-3.54
Lu 0.7500 0.2500 0.5000  4 Th 3.49, 8 Lu 3.49-3.54

=====

6.
Material: Zn4In
Method: DFT, PBE-GGA
State: relaxed

Values from the calculation:
Excess energy over the best structure of this formula in the dataset   1.74 eV/f.u.

Unit cell a=5.3392 b=5.3392 c=5.3392 alpha=109.47 beta=109.47 gamma=109.47
Last column: nearest neighbours and their distance in Å.
Fractional coordinates of all 5 atoms:
In 0.0000 0.0000 0.0000  8 Zn 2.67
Zn 0.5000 0.5000 0.5000  2 In 2.67
Zn 0.0000 0.5000 0.0000  2 In 2.67
Zn 0.0000 0.0000 0.5000  2 In 2.67
Zn 0.5000 0.0000 0.0000  2 In 2.67